The following is a GGA-PBE calculation of a relaxed La6Pr2Nd3 crystal, from Alexandria via LeMat-Bulk.

a = 5.832 Å, b = 5.832 Å, c = 13.424 Å
α = 102.55°, β = 102.55°, γ = 90.00°
Fractional coordinates of all 11 atoms:
Pr  0.441  0.441  0.883
La  0.598  0.098  0.196
La  0.098  0.598  0.196
La  0.402  0.902  0.804
Pr  0.559  0.559  0.117
Nd  0.162  0.162  0.324
La  0.298  0.298  0.595
Nd  0.838  0.838  0.676
Nd  0.000  0.000  0.000
La  0.902  0.402  0.804
La  0.702  0.702  0.405

The calculation puts the energy relative to the elements at 426.4 meV/atom. The value obtained for the total moment is 0.0 Bohr magnetons per cell. The value obtained for the total DFT energy (no corrections) is -48.7 eV for the cell shown. Its relative energy among the computed polymorphs is 0.412 eV per atom. Its symmetry is I4/mmm, No. 139. The value obtained for the density of states at the Fermi level is 20.3 states/eV per cell.